Record 1
Sr2LiTaPb | PBE-GGA | optimized geometry

Summary:
total energy: -3.215 eV/atom
total magnetic moment: 3.4 μB per formula unit
energy of formation: 952 meV/atom

abc: 6.3712 6.3712 6.1926
angles: 90.00 90.00 90.00
With the nearest neighbours (Å) after each atom.
Sites, in units of the cell vectors:
Sr: 0.0000 0.5000 0.0000  2 Pb 3.19
Sr: 0.5000 0.0000 0.0000  2 Pb 3.19
Li: 0.0000 0.0000 0.5000  8 Sr 4.44, 4 Ta 4.51
Ta: 0.5000 0.5000 0.5000  2 Pb 3.10
Pb: 0.5000 0.5000 0.0000  2 Ta 3.10, 4 Sr 3.19

Record 2
SrLiTbPb | PBE-GGA | optimized geometry

Summary:
total energy: -3.243 eV/atom
total magnetic moment: 0.0 μB per formula unit
energy of formation: -260 meV/atom

abc: 5.5393 5.5393 5.5393
angles: 60.00 60.00 60.00
With the nearest neighbours (Å) after each atom.
Sites, in units of the cell vectors:
Sr: 0.0000 0.0000 0.0000  4 Li 3.39, 4 Pb 3.39
Li: 0.2500 0.2500 0.2500  4 Tb 3.39, 4 Sr 3.39
Tb: 0.5000 0.5000 0.5000  4 Pb 3.39, 4 Li 3.39
Pb: 0.7500 0.7500 0.7500  4 Tb 3.39, 4 Sr 3.39

Record 3
SrLi2Tl2Pb | PBE-GGA | optimized geometry

Summary:
total energy: -2.606 eV/atom
total magnetic moment: 0.0 μB per formula unit
energy of formation: -280 meV/atom

abc: 5.0459 5.0459 7.3485
angles: 90.00 90.00 120.00
With the nearest neighbours (Å) after each atom.
Sites, in units of the cell vectors:
Sr: 0.0000 0.0000 0.0000  6 Tl 3.39, 2 Pb 3.67
Li: 0.3333 0.6667 0.6501  4 Tl 3.03-3.04, 3 Pb 3.12
Li: 0.6667 0.3333 0.3499  4 Tl 3.03-3.04, 3 Pb 3.12
Tl: 0.3333 0.6667 0.2369  4 Li 3.03-3.04
Tl: 0.6667 0.3333 0.7631  4 Li 3.03-3.04
Pb: 0.0000 0.0000 0.5000  6 Li 3.12

Record 4
SrLiTlPb2 | PBE-GGA | optimized geometry

Summary:
excess energy over the best structure of this formula in the dataset: 86 meV per atom
total energy: -2.887 eV/atom
total magnetic moment: 0.0 μB per formula unit
energy of formation: -211 meV/atom

abc: 5.3143 5.3143 5.2826
angles: 90.00 90.00 90.00
With the nearest neighbours (Å) after each atom.
Sites, in units of the cell vectors:
Sr: 0.0000 0.0000 0.0000  8 Pb 3.75, 4 Tl 3.76
Li: 0.5000 0.5000 0.5000  2 Tl 2.64, 4 Pb 2.66
Tl: 0.5000 0.5000 0.0000  2 Li 2.64
Pb: 0.0000 0.5000 0.5000  2 Li 2.66
Pb: 0.5000 0.0000 0.5000  2 Li 2.66

Record 5
SrLiTlPb2 | PBE-GGA | optimized geometry

Summary:
excess energy over the best structure of this formula in the dataset: 0 meV per atom
total energy: -2.973 eV/atom
total magnetic moment: 0.0 μB per formula unit
energy of formation: -298 meV/atom

abc: 6.4169 6.8413 6.7130
angles: 90.00 90.00 90.00
With the nearest neighbours (Å) after each atom.
Sites, in units of the cell vectors:
Sr: 0.2500 0.0000 0.2430  2 Tl 3.50, 8 Pb 3.60-3.76
Sr: 0.7500 0.0000 0.7570  2 Tl 3.50, 8 Pb 3.60-3.76
Li: 0.0000 0.5000 0.0000  2 Tl 2.87, 4 Pb 2.94, 2 Li 3.21
Li: 0.5000 0.5000 0.0000  2 Tl 2.87, 4 Pb 2.94, 2 Li 3.21
Tl: 0.2500 0.5000 0.3539  2 Li 2.87, 2 Pb 3.18
Tl: 0.7500 0.5000 0.6461  2 Li 2.87, 2 Pb 3.18
Pb: 0.2500 0.2392 0.7467  2 Li 2.94, 1 Tl 3.18, 1 Pb 3.27
Pb: 0.2500 0.7608 0.7467  2 Li 2.94, 1 Tl 3.18, 1 Pb 3.27
Pb: 0.7500 0.2392 0.2533  2 Li 2.94, 1 Tl 3.18, 1 Pb 3.27
Pb: 0.7500 0.7608 0.2533  2 Li 2.94, 1 Tl 3.18, 1 Pb 3.27

Record 6
SrLi4Tl2Pb | PBE-GGA | optimized geometry

Summary:
total energy: -2.463 eV/atom
total magnetic moment: 0.0 μB per formula unit
energy of formation: -240 meV/atom

abc: 9.7028 9.7028 9.7028
angles: 29.30 29.30 29.30
With the nearest neighbours (Å) after each atom.
Sites, in units of the cell vectors:
Sr: 0.0000 0.0000 0.0000  8 Li 3.42-3.67, 6 Tl 3.64
Li: 0.1319 0.1319 0.1319  3 Pb 2.99, 4 Tl 3.15-3.32, 3 Li 3.33
Li: 0.4022 0.4022 0.4022  1 Pb 2.72, 3 Tl 2.86
Li: 0.5978 0.5978 0.5978  1 Pb 2.72, 3 Tl 2.86
Li: 0.8681 0.8681 0.8681  3 Pb 2.99, 4 Tl 3.15-3.32, 3 Li 3.33
Tl: 0.2512 0.2512 0.2512  6 Li 2.86-3.15
Tl: 0.7488 0.7488 0.7488  6 Li 2.86-3.15
Pb: 0.5000 0.5000 0.5000  8 Li 2.72-2.99

Which of these has the lowest total energy? SrLiTbPb